Density functional theory data (PBE) for a relaxed ScCo2Pt crystal.

Unit cell a=4.7786 b=5.0954 c=2.7885 alpha=77.64 beta=82.70 gamma=115.73
Atoms (fractional coordinates):
Co1 0.5000 0.0000 0.5000
Co2 0.0000 0.0000 0.0000
Sc1 0.5000 0.5000 0.0000
Pt1 0.0000 0.5000 0.5000

Output
Fermi-level density of states	1.187	states/eV per atom
electronic total energy	-27.301	eV/cell

=====

Density functional theory data (PBE) for a relaxed CrIn2GaS crystal.

Unit cell a=5.1742 b=4.9270 c=5.1742 alpha=90.00 beta=90.00 gamma=90.00
Atoms (fractional coordinates):
S1 0.5000 0.5000 0.5000
In1 0.5000 0.0000 0.0000
In2 0.0000 0.0000 0.5000
Ga1 0.0000 0.0000 0.0000
Cr1 0.0000 0.5000 0.0000

Output
energy relative to the elements, uncorrected	2.9	eV per formula unit
Fermi-level density of states	0.751	states/eV per atom

=====

Density functional theory data (PBE) for a relaxed ScAlW crystal.

Unit cell a=4.6693 b=4.6693 c=2.7906 alpha=90.00 beta=90.00 gamma=120.00
Atoms (fractional coordinates):
Al1 0.0000 0.0000 0.9453
W1 0.3333 0.6667 0.7134
Sc1 0.6667 0.3333 0.3413

Output
Fermi-level density of states	0.792	states/eV per atom
energy relative to the lowest polymorph listed for this composition	287.1	meV per atom

=====

Density functional theory data (PBE) for a relaxed TlInAgPb crystal.

Unit cell a=5.3290 b=5.3290 c=5.3290 alpha=60.00 beta=60.00 gamma=60.00
Atoms (fractional coordinates):
In1 0.7500 0.7500 0.7500
Tl1 0.5000 0.5000 0.5000
Ag1 0.2500 0.2500 0.2500
Pb1 0.0000 0.0000 0.0000

Output
Fermi-level density of states	0.467	states/eV per atom
energy relative to the lowest polymorph listed for this composition	97.9	meV per atom

=====

Density functional theory data (PBE) for a relaxed PrScSb2 crystal.

Unit cell a=4.3758 b=4.3758 c=7.5242 alpha=73.10 beta=73.10 gamma=60.00
Atoms (fractional coordinates):
Sb1 0.7413 0.7413 0.7762
Sb2 0.2587 0.2587 0.2238
Sc1 0.0000 0.0000 0.0000
Pr1 0.5000 0.5000 0.5000

Output
energy relative to the elements, uncorrected	-4.2	eV per formula unit
Fermi-level density of states	0.195	states/eV per atom
energy relative to the lowest polymorph listed for this composition	0.0	meV per atom

=====

Density functional theory data (PBE) for a relaxed InPbO2 crystal.

Unit cell a=5.5884 b=5.5884 c=6.4159 alpha=64.18 beta=64.18 gamma=90.00
Atoms (fractional coordinates):
In1 0.5000 0.5000 0.0000
In2 0.2500 0.7500 0.5000
Pb1 0.7500 0.2500 0.5000
Pb2 0.0000 0.0000 0.0000
O1 0.8750 0.8161 0.7500
O2 0.5661 0.1250 0.2500
O3 0.3750 0.4339 0.7500
O4 0.1839 0.6250 0.2500

Output
energy relative to the elements, uncorrected	-4.0	eV per formula unit
Fermi-level density of states	0.102	states/eV per atom
energy relative to the lowest polymorph listed for this composition	197.2	meV per atom

=====

Density functional theory data (PBE) for a relaxed Pb4SeS2Cl crystal.

Unit cell a=4.2334 b=7.9553 c=7.1279 alpha=71.74 beta=90.00 gamma=90.00
Atoms (fractional coordinates):
S1 0.0000 0.0000 0.0000
S2 0.5000 0.0000 0.5000
Se1 0.0000 0.5000 0.5000
Pb1 0.0000 0.2310 0.2617
Pb2 0.0000 0.7690 0.7383
Pb3 0.5000 0.7619 0.2498
Pb4 0.5000 0.2381 0.7502
Cl1 0.5000 0.5000 0.0000

Output
energy relative to the elements, uncorrected	-4.4	eV per formula unit
Fermi-level density of states	0.229	states/eV per atom

=====

Density functional theory data (PBE) for a relaxed Pm3Ga3Pd2 crystal.

Unit cell a=4.5212 b=5.6758 c=15.1311 alpha=90.00 beta=90.00 gamma=113.47
Atoms (fractional coordinates):
Pm1 0.9062 0.8123 0.1072
Pm2 0.0938 0.1877 0.6072
Pm3 0.6284 0.2569 0.2500
Pm4 0.9062 0.8123 0.3928
Pm5 0.3716 0.7431 0.7500
Pm6 0.0938 0.1877 0.8928
Pd1 0.1993 0.3987 0.3977
Pd2 0.8007 0.6013 0.8977
Pd3 0.8007 0.6013 0.6023
Pd4 0.1993 0.3987 0.1023
Ga1 0.6152 0.2303 0.4609
Ga2 0.3848 0.7697 0.9609
Ga3 0.6152 0.2303 0.0391
Ga4 0.6633 0.3267 0.7500
Ga5 0.3367 0.6733 0.2500
Ga6 0.3848 0.7697 0.5391

Output
Fermi-level density of states	0.791	states/eV per atom
energy relative to the lowest polymorph listed for this composition	0.0	meV per atom